VASP calculation (PBE) on a relaxed structure of HoPaCo2.

Structure (CIF):
```
data_HoPaCo2
_symmetry_space_group_name_H-M 'P 4/m m m'
_symmetry_Int_Tables_number 123
_symmetry_space_group_name_Hall '-P 4 2'
_cell_length_a 4.714
_cell_length_b 4.714
_cell_length_c 3.273
_cell_angle_alpha 90.00
_cell_angle_beta 90.00
_cell_angle_gamma 90.00
loop_
_atom_site_label
_atom_site_fract_x
_atom_site_fract_y
_atom_site_fract_z
Ho1 0.000 0.000 0.000
Pa1 0.500 0.500 0.000
Co1 0.000 0.500 0.500
```

---

VASP calculation (PBE) on a relaxed structure of HoPaCo.

Structure (CIF):
```
data_HoPaCo
_symmetry_space_group_name_H-M 'P -6 m 2'
_symmetry_Int_Tables_number 187
_symmetry_space_group_name_Hall 'P -6 2'
_cell_length_a 4.1870
_cell_length_b 4.1870
_cell_length_c 4.6852
_cell_angle_alpha 90.00
_cell_angle_beta 90.00
_cell_angle_gamma 120.00
loop_
_atom_site_label
_atom_site_fract_x
_atom_site_fract_y
_atom_site_fract_z
Ho1 0.0000 0.0000 0.0000
Pa1 0.6667 0.3333 0.5000
Co1 0.3333 0.6667 0.5000
```

---

VASP calculation (PBE) on a relaxed structure of HoPaCo.

Structure (CIF):
```
data_HoPaCo
_symmetry_space_group_name_H-M 'P 1 21/c 1'
_symmetry_Int_Tables_number 14
_cell_length_a 6.616
_cell_length_b 5.782
_cell_length_c 9.113
_cell_angle_alpha 90.00
_cell_angle_beta 126.36
_cell_angle_gamma 90.00
loop_
_symmetry_equiv_pos_as_xyz
'x,y,z'
'-x,-y,-z'
'-x,y+1/2,-z+1/2'
'x,-y+1/2,z+1/2'
loop_
_atom_site_label
_atom_site_fract_x
_atom_site_fract_y
_atom_site_fract_z
Ho1 0.192 0.135 0.380
Pa1 0.338 0.645 0.635
Co1 0.334 0.635 0.364
```

---

VASP calculation (PBE) on a relaxed structure of HoPaCo.

Structure (CIF):
```
data_HoPaCo
_symmetry_space_group_name_H-M 'R -3 m'
_symmetry_Int_Tables_number 166
_symmetry_space_group_name_Hall '-R 3 2"'
_cell_length_a 3.8618
_cell_length_b 3.8618
_cell_length_c 33.6456
_cell_angle_alpha 90.00
_cell_angle_beta 90.00
_cell_angle_gamma 120.00
loop_
_atom_site_label
_atom_site_fract_x
_atom_site_fract_y
_atom_site_fract_z
Ho1 0.0000 0.0000 0.1172
Pa1 0.0000 0.0000 0.3016
Co1 0.0000 0.0000 0.4023
```

---

Results for total magnetic moment: 0.000 0.000 0.000 0.000 (in μB/atom, following the order of the records).
Results for DFT total energy: -28.95 -20.91 -85.63 -128.90 (in eV per cell, following the order of the records).